Below is an optimized crystal structure of CrBr2, with properties calculated at the PBE level.

Cell: 7.017 7.017 13.240 Å, 90.00 90.00 120.00°
Each line ends with the local moment (μB).
Fractional positions:
1 Br 0.833 0.667 0.250  -0.07
2 Cr 0.667 0.333 0.357  3.74
3 Br 0.667 0.833 0.750  -0.07
4 Br 0.000 0.000 0.500  -0.08
5 Cr 0.333 0.667 0.857  3.74
6 Br 0.000 0.000 0.000  -0.08
7 Cr 0.333 0.667 0.643  3.74
8 Cr 0.667 0.333 0.143  3.74
9 Br 0.167 0.333 0.750  -0.07
10 Br 0.167 0.833 0.750  -0.07
11 Br 0.833 0.167 0.250  -0.07
12 Br 0.333 0.167 0.250  -0.07

Computed properties:
**Space-group type**: P6_3/mmc
**Energy relative to the elements, uncorrected**: 70 meV per atom
**Density of states at the Fermi level**: 1.59 states/eV/f.u.
**Total moment**: 15.999 μB per cell
**Theoretical density**: 2.49 Mg/m³